Compound: Pm3Zn9Si2
Source: the Alexandria database
Functional: PBE-GGA
Structure: relaxed

Cell and atoms, written as CIF:
```
data_Pm3Zn9Si2
_cell_length_a 4.3243
_cell_length_b 9.7331
_cell_length_c 12.3873
_cell_angle_alpha 90.00
_cell_angle_beta 90.00
_cell_angle_gamma 90.00
_symmetry_space_group_name_H-M 'I m m m'
_symmetry_Int_Tables_number 71
_symmetry_space_group_name_Hall '-I 2 2'
loop_
_atom_site_label
_atom_site_fract_x
_atom_site_fract_y
_atom_site_fract_z
_atom_site_occupancy
Pm1 0.0000 0.0000 0.0000 1
Pm2 0.0000 0.0000 0.3147 1
Zn1 0.0000 0.2732 0.1368 1
Zn2 0.0000 0.3696 0.3363 1
Zn3 0.0000 0.5000 0.0000 1
Si1 0.0000 0.2185 0.5000 1
```

Properties
Volume ... 18.6 Å³/atom
Formation energy (no corrections) ... -4.735 eV per formula unit
Density ... 6.88 g/cm3
VASP energy ... -2.950 eV per atom